No. 1
Material: Be12Co
Method: DFT, GGA-PBE
State: relaxed

Calculated values
The volume comes out at 209.5 Å³ per cell. Its formation energy is -0.05 eV per atom. Its total magnetic moment is 0.000 μB/atom.

Cell lengths 7.1566, 7.1566, 4.0903 Å; angles 90.00, 90.00, 90.00 degrees
Space group I4/mmm (No. 139)
Inequivalent atoms, fractional coordinates:
Be 0.0000 0.2133 0.0000 x8
Be 0.0000 0.3450 0.5000 x8
Be 0.2500 0.2500 0.2500 x8
Co 0.0000 0.0000 0.5000 x2

=====

No. 2
Material: PtSNF2
Method: DFT, GGA-PBE
State: relaxed

Calculated values
The value obtained for the energy relative to the elements, uncorrected is 0.42 eV/atom. Its offset from the most stable computed form is 0 meV per atom. The volume comes out at 74.7 Å³ per cell. Its total magnetic moment is 0.503 μB/atom.

Cell lengths 4.4878, 4.4878, 3.7081 Å; angles 90.00, 90.00, 90.00 degrees
Space group P4/mmm (No. 123)
Inequivalent atoms, fractional coordinates:
Pt 0.0000 0.0000 0.0000 x1
S 0.5000 0.5000 0.5000 x1
N 0.0000 0.0000 0.5000 x1
F 0.0000 0.5000 0.0000 x2

=====

No. 3
Material: CaScMn
Method: DFT, GGA-PBE
State: relaxed

Calculated values
Its offset from the most stable computed form is 194 meV per atom. The volume comes out at 74.7 Å³ per cell. Its formation energy is 0.44 eV per atom. Its total magnetic moment is 1.076 μB/atom.

Cell lengths 3.3538, 3.3538, 7.6718 Å; angles 90.00, 90.00, 120.00 degrees
Space group P3m1 (No. 156)
Inequivalent atoms, fractional coordinates:
Ca 0.0000 0.0000 0.0000 x1
Sc 0.3333 0.6667 0.5970 x1
Mn 0.6667 0.3333 0.3294 x1

=====

No. 4
Material: Rb3TcSn
Method: DFT, GGA-PBE
State: relaxed

Calculated values
Its offset from the most stable computed form is 0 meV per atom. The volume comes out at 354.2 Å³ per cell. Its formation energy is 1.23 eV per atom. Its total magnetic moment is 1.200 μB/atom.

Cell lengths 7.0752, 7.0752, 7.0752 Å; angles 90.00, 90.00, 90.00 degrees
Space group Pm-3m (No. 221)
Inequivalent atoms, fractional coordinates:
Rb 0.0000 0.0000 0.5000 x3
Tc 0.5000 0.5000 0.5000 x1
Sn 0.0000 0.0000 0.0000 x1

=====

No. 5
Material: SrZn2BRh2
Method: DFT, GGA-PBE
State: relaxed

Calculated values
The volume comes out at 102.0 Å³ per cell. Its formation energy is -0.46 eV per atom. Its total magnetic moment is 0.000 μB/atom.

Cell lengths 4.1784, 4.1784, 5.8425 Å; angles 90.00, 90.00, 90.00 degrees
Space group P4/mmm (No. 123)
Inequivalent atoms, fractional coordinates:
Sr 0.0000 0.0000 0.0000 x1
Zn 0.5000 0.5000 0.2289 x2
B 0.0000 0.0000 0.5000 x1
Rh 0.0000 0.5000 0.5000 x2

=====

No. 6
Material: Cs3Tb2ZrS6
Method: DFT, GGA-PBE
State: relaxed

Calculated values
The value obtained for the energy relative to the elements, uncorrected is -1.67 eV/atom. The volume comes out at 677.2 Å³ per cell. Its total magnetic moment is 0.000 μB/atom.

Cell lengths 6.9598, 12.0541, 8.3998 Å; angles 90.00, 106.05, 90.00 degrees
Space group C2/m (No. 12)
Inequivalent atoms, fractional coordinates:
Cs 0.0000 0.0000 0.0000 x2
Cs 0.0000 0.3314 0.0000 x4
Tb 0.0000 0.1665 0.5000 x4
Zr 0.0000 0.5000 0.5000 x2
S 0.2200 0.3405 0.6813 x8
S 0.2419 0.0000 0.6823 x4